## P
Below is a relaxed structure of Pm2Dy8Mg, with properties calculated at the GGA-PBE level.

Results
The space group is No. 71. Its volume is 32.2 Å³ per atom. The crystal system is orthorhombic.

Geometry as POSCAR:
```
Pm2Dy8Mg
1.0
-2.752 3.866 8.330
2.752 -3.866 8.330
2.752 3.866 -8.330
Pm Dy Mg
2 8 1
Cartesian
0.000 0.000 3.265
0.000 0.000 13.396
2.752 1.704 -2.251
0.000 1.769 0.000
2.752 0.000 5.439
2.752 1.704 2.251
0.000 2.161 6.080
0.000 3.866 2.891
0.000 5.963 0.000
0.000 2.161 10.581
0.000 0.000 8.330
```

=====

## Q
Below is a relaxed structure of Pm2Dy8Mg, with properties calculated at the GGA-PBE level.

Results
The space group is No. 12. Its volume is 32.0 Å³ per atom. The crystal system is monoclinic.

Geometry as POSCAR:
```
Pm2Dy8Mg
1.0
8.125 -3.310 0.000
8.125 3.310 0.000
-1.368 0.000 6.543
Pm Dy Mg
2 8 1
Cartesian
2.620 0.000 1.916
12.263 0.000 4.627
6.655 1.585 0.741
2.874 0.000 5.318
8.227 1.585 5.802
5.796 0.000 3.815
9.087 0.000 2.728
6.655 -1.585 0.741
12.008 0.000 1.225
8.227 -1.585 5.802
-0.684 0.000 3.272
```

=====

Stability summary: most stable P, least stable Q.

=====

## P
Below is a relaxed structure of Pm3DyMg, with properties calculated at the GGA-PBE level.

Results
The space group is No. 12. Its volume is 32.5 Å³ per atom. The crystal system is monoclinic.

Geometry as POSCAR:
```
Pm3DyMg
1.0
11.305 -1.768 0.000
11.305 1.768 0.000
-2.708 0.000 8.126
Pm Dy Mg
6 2 2
Cartesian
-0.216 0.000 1.814
2.789 0.000 3.583
5.967 0.000 7.824
13.935 0.000 0.302
17.114 0.000 4.543
20.119 0.000 6.312
5.516 0.000 1.471
14.386 0.000 6.655
8.505 0.000 3.262
11.398 0.000 4.865
```

=====

## Q
Below is a relaxed structure of Pm3DyMg, with properties calculated at the GGA-PBE level.

Results
The space group is No. 63. Its volume is 34.2 Å³ per atom. The crystal system is orthorhombic.

Geometry as POSCAR:
```
Pm3DyMg
1.0
1.897 -9.722 0.000
1.897 9.722 0.000
0.000 0.000 9.259
Pm Dy Mg
6 2 2
Cartesian
1.897 7.903 4.678
1.897 7.903 9.211
1.897 3.746 6.944
1.897 -3.746 2.315
1.897 -7.903 0.049
1.897 -7.903 4.581
1.897 0.139 6.944
1.897 -0.139 2.315
1.897 3.318 2.315
1.897 -3.318 6.944
```

=====

Stability summary: most stable P, least stable Q.

=====

## P
Below is a relaxed structure of PmPrDyMg, with properties calculated at the GGA-PBE level.

Results
The space group is No. 216. Its volume is 31.3 Å³ per atom. The crystal system is cubic.

Geometry as POSCAR:
```
PmPrDyMg
1.0
7.941 0.000 0.000
0.000 7.941 0.000
0.000 0.000 7.941
Pm Pr Dy Mg
4 4 4 4
Cartesian
0.000 0.000 0.000
0.000 3.970 3.970
3.970 0.000 3.970
3.970 3.970 0.000
0.000 0.000 3.970
0.000 3.970 0.000
3.970 0.000 0.000
3.970 3.970 3.970
1.985 1.985 5.956
1.985 5.956 1.985
5.956 1.985 1.985
5.956 5.956 5.956
1.985 1.985 1.985
1.985 5.956 5.956
5.956 1.985 5.956
5.956 5.956 1.985
```

=====

## Q
Below is a relaxed structure of PmPrDyMg, with properties calculated at the GGA-PBE level.

Results
The space group is No. 99. Its volume is 31.4 Å³ per atom. The crystal system is tetragonal.

Geometry as POSCAR:
```
PmPrDyMg
1.0
3.699 0.000 0.000
0.000 3.699 0.000
0.000 0.000 9.169
Pm Pr Dy Mg
1 1 1 1
Cartesian
0.000 0.000 0.000
1.850 1.850 2.555
0.000 0.000 5.029
1.850 1.850 7.044
```

=====

Stability summary: most stable Q, least stable P.

=====

## P
Below is a relaxed structure of PmDyMgSc, with properties calculated at the GGA-PBE level.

Results
The space group is No. 216. Its volume is 28.2 Å³ per atom. The crystal system is cubic.

Geometry as POSCAR:
```
PmDyMgSc
1.0
7.671 0.000 0.000
0.000 7.671 0.000
0.000 0.000 7.671
Pm Dy Mg Sc
4 4 4 4
Cartesian
0.000 0.000 0.000
0.000 3.836 3.836
3.836 0.000 3.836
3.836 3.836 0.000
0.000 0.000 3.836
0.000 3.836 0.000
3.836 0.000 0.000
3.836 3.836 3.836
1.918 1.918 5.754
1.918 5.754 1.918
5.754 1.918 1.918
5.754 5.754 5.754
1.918 1.918 1.918
1.918 5.754 5.754
5.754 1.918 5.754
5.754 5.754 1.918
```

=====

## Q
Below is a relaxed structure of PmDyMgSc, with properties calculated at the GGA-PBE level.

Results
The space group is No. 8. Its volume is 28.8 Å³ per atom. The crystal system is monoclinic.

Geometry as POSCAR:
```
PmDyMgSc
1.0
20.034 0.000 0.000
0.000 3.368 0.000
0.000 0.000 3.410
Pm Dy Mg Sc
2 2 2 2
Cartesian
0.000 0.000 0.000
10.017 1.684 0.000
3.123 0.000 1.704
13.140 1.684 1.704
7.584 0.000 1.709
17.601 1.684 1.709
5.467 1.684 0.000
15.484 0.000 0.000
```

=====

Stability summary: most stable P, least stable Q.

=====

## P
Below is a relaxed structure of PmDyMgZn, with properties calculated at the GGA-PBE level.

Results
The space group is No. 99. Its volume is 25.8 Å³ per atom. The crystal system is tetragonal.

Geometry as POSCAR:
```
PmDyMgZn
1.0
3.641 0.000 0.000
0.000 3.641 0.000
0.000 0.000 7.792
Pm Dy Mg Zn
1 1 1 1
Cartesian
0.000 0.000 0.000
0.000 0.000 3.496
1.820 1.820 5.582
1.820 1.820 1.858
```

=====

## Q
Below is a relaxed structure of PmDyMgZn, with properties calculated at the GGA-PBE level.

Results
The space group is No. 216. Its volume is 25.6 Å³ per atom. The crystal system is cubic.

Geometry as POSCAR:
```
PmDyMgZn
1.0
7.422 0.000 0.000
0.000 7.422 0.000
0.000 0.000 7.422
Pm Dy Mg Zn
4 4 4 4
Cartesian
0.000 0.000 0.000
0.000 3.711 3.711
3.711 0.000 3.711
3.711 3.711 0.000
0.000 0.000 3.711
0.000 3.711 0.000
3.711 0.000 0.000
3.711 3.711 3.711
1.856 1.856 1.856
1.856 5.567 5.567
5.567 1.856 5.567
5.567 5.567 1.856
1.856 1.856 5.567
1.856 5.567 1.856
5.567 1.856 1.856
5.567 5.567 5.567
```

=====

Stability summary: most stable P, least stable Q.

=====

## P
Below is a relaxed structure of Pr4DyMg, with properties calculated at the GGA-PBE level.

Results
The space group is No. 15. Its volume is 33.6 Å³ per atom. The crystal system is monoclinic.

Geometry as POSCAR:
```
Pr4DyMg
1.0
5.285 -6.809 0.000
5.285 6.809 0.000
-3.512 0.000 5.605
Pr Dy Mg
8 2 2
Cartesian
2.502 4.123 1.567
0.946 0.878 1.292
-0.810 -0.878 4.094
6.312 4.123 1.235
0.746 -4.123 4.370
7.869 0.878 1.511
6.113 -0.878 4.313
4.556 -4.123 4.037
2.651 1.952 4.204
4.407 -1.952 1.401
4.407 1.298 1.401
2.651 -1.298 4.204
```

=====

## Q
Below is a relaxed structure of Pr4DyMg, with properties calculated at the GGA-PBE level.

Results
The space group is No. 123. Its volume is 33.4 Å³ per atom. The crystal system is tetragonal.

Geometry as POSCAR:
```
Pr4DyMg
1.0
3.715 0.000 0.000
0.000 3.715 0.000
0.000 0.000 14.534
Pr Dy Mg
4 1 1
Cartesian
0.000 0.000 2.191
0.000 0.000 12.342
1.857 1.857 4.759
1.857 1.857 9.775
0.000 0.000 7.267
1.857 1.857 0.000
```

=====

Stability summary: most stable Q, least stable P.

=====

## P
Below is a relaxed structure of PrDyMg4, with properties calculated at the GGA-PBE level.

Results
The space group is No. 216. Its volume is 26.6 Å³ per atom. The crystal system is cubic.

Geometry as POSCAR:
```
PrDyMg4
1.0
0.000 4.308 4.308
4.308 0.000 4.308
4.308 4.308 0.000
Pr Dy Mg
1 1 4
Cartesian
0.000 0.000 0.000
6.462 6.462 6.462
3.232 3.232 3.232
5.383 5.383 3.232
5.383 3.232 5.383
3.232 5.383 5.383
```

=====

## Q
Below is a relaxed structure of PrDyMg4, with properties calculated at the GGA-PBE level.

Results
The space group is No. 12. Its volume is 26.7 Å³ per atom. The crystal system is monoclinic.

Geometry as POSCAR:
```
PrDyMg4
1.0
13.937 0.000 0.000
0.000 3.458 0.000
-1.687 0.000 6.655
Pr Dy Mg
2 2 8
Cartesian
0.000 0.000 0.000
6.968 1.729 0.000
-0.844 0.000 3.328
6.125 1.729 3.328
1.861 1.729 2.283
1.078 1.729 5.548
4.203 0.000 1.107
3.420 0.000 4.372
8.829 0.000 2.283
8.046 0.000 5.548
11.171 1.729 1.107
10.389 1.729 4.372
```

=====

Stability summary: most stable P, least stable Q.

=====

## P
Below is a relaxed structure of Pr8Dy2Mg, with properties calculated at the GGA-PBE level.

Results
The space group is No. 12. Its volume is 34.2 Å³ per atom. The crystal system is monoclinic.

Geometry as POSCAR:
```
Pr8Dy2Mg
1.0
9.266 -2.584 0.000
9.266 2.584 0.000
-2.153 0.000 7.865
Pr Dy Mg
8 2 1
Cartesian
0.365 0.000 1.766
1.076 0.000 5.374
4.644 0.000 4.641
7.461 0.000 0.400
8.918 0.000 7.464
11.736 0.000 3.223
15.303 0.000 2.491
16.014 0.000 6.099
3.893 0.000 1.055
12.487 0.000 6.809
8.190 0.000 3.932
```

=====

## Q
Below is a relaxed structure of Pr8Dy2Mg, with properties calculated at the GGA-PBE level.

Results
The space group is No. 71. Its volume is 35.1 Å³ per atom. The crystal system is orthorhombic.

Geometry as POSCAR:
```
Pr8Dy2Mg
1.0
-2.855 3.888 8.690
2.855 -3.888 8.690
2.855 3.888 -8.690
Pr Dy Mg
8 2 1
Cartesian
2.855 2.193 -2.343
0.000 0.000 3.053
0.000 2.072 0.000
2.855 2.193 2.343
0.000 1.695 6.347
0.000 5.704 0.000
0.000 0.000 14.327
0.000 1.695 11.033
2.855 0.000 5.306
0.000 3.888 3.384
2.855 0.000 0.000
```

=====

Stability summary: most stable P, least stable Q.